[1]
Here is a geometry-optimized Ti2AgI structure from the Alexandria database. Energies are from GGA-PBE.

Summary:
The calculation puts the energy above the most stable polymorph in this dataset at 0 meV per atom. As for the formation energy (no corrections): 0.34 eV per atom. The density of states at the Fermi level is 1.43 states/eV per atom. Its total energy is -4.7089 eV per atom.

Cell: 6.724 6.724 6.724 Å, 90.00 90.00 90.00°
Space group Fm-3m (No. 225)
Unique sites:
Ti1 0.250 0.250 0.250 x8
Ag1 0.000 0.000 0.000 x4
I1 0.000 0.000 0.500 x4

=====

[2]
Here is a geometry-optimized Y2Zn3Cu12Ag structure from the Alexandria database. Energies are from GGA-PBE.

Summary:
As for the formation energy: 0.1234 eV/atom. The density of states at the Fermi level is 0.44 states/eV per atom. Its total energy is -3.6963 eV per atom.

Cell: 6.3194 6.3194 26.3723 Å, 90.00 90.00 120.00°
Space group R-3m (No. 166, hexagonal axes)
Unique sites:
Y1 0.0000 0.0000 0.1405 x6
Zn1 0.0000 0.5000 0.0000 x9
Cu1 0.0516 0.5258 0.8998 x18
Cu2 0.0806 0.5403 0.6225 x18
Ag1 0.0000 0.0000 0.5000 x3

=====

[3]
Here is a geometry-optimized CeNdTl2 structure from the Alexandria database. Energies are from GGA-PBE.

Summary:
As for the formation energy: -0.1637 eV/atom. The density of states at the Fermi level is 2.04 states/eV per atom. Its total energy is -4.0222 eV per atom.

Cell: 3.8157 3.8157 30.2042 Å, 90.00 90.00 120.00°
Space group R-3m (No. 166, hexagonal axes)
Unique sites:
Ce1 0.0000 0.0000 0.0000 x3
Nd1 0.0000 0.0000 0.5000 x3
Tl1 0.0000 0.0000 0.2498 x6

=====

[4]
Here is a geometry-optimized AcEuErCd structure from the Alexandria database. Energies are from GGA-PBE.

Summary:
As for the formation energy: 0.0779 eV/atom. The density of states at the Fermi level is 1.27 states/eV per atom. Its total energy is -4.8873 eV per atom.

Cell: 8.110 8.110 8.110 Å, 90.00 90.00 90.00°
Space group F-43m (No. 216)
Unique sites:
Ac1 0.000 0.000 0.000 x4
Eu1 0.250 0.250 0.250 x4
Er1 0.250 0.250 0.750 x4
Cd1 0.000 0.000 0.500 x4

=====

[5]
Here is a geometry-optimized ZrPd2S4 structure from the Alexandria database. Energies are from GGA-PBE.

Summary:
The calculation puts the energy above the most stable polymorph in this dataset at 532 meV per atom. As for the formation energy (no corrections): -0.19 eV per atom. The density of states at the Fermi level is 0.96 states/eV per atom. Its total energy is -5.2517 eV per atom.

Cell: 5.035 5.035 12.055 Å, 90.00 90.00 90.00°
Space group I4/mmm (No. 139)
Unique sites:
Zr1 0.000 0.000 0.000 x2
Pd1 0.000 0.000 0.394 x4
S1 0.000 0.000 0.206 x4
S2 0.000 0.500 0.000 x4

=====

[6]
Here is a geometry-optimized Y2InSn4 structure from the Alexandria database. Energies are from GGA-PBE.

Summary:
As for the formation energy: -0.4159 eV/atom. The calculation puts the energy above the most stable polymorph in this dataset at 0 meV per atom. The density of states at the Fermi level is 0.54 states/eV per atom. Its total energy is -4.9413 eV per atom.

Cell: 9.119 9.219 6.490 Å, 90.00 134.19 90.00°
Space group C2/m (No. 12)
Unique sites:
Y1 0.250 0.250 0.000 x4
In1 0.000 0.000 0.500 x2
Sn1 0.000 0.000 0.000 x2
Sn2 0.000 0.500 0.000 x2
Sn3 0.250 0.250 0.500 x4

=====

[7]
Here is a geometry-optimized LiSc3Pd12 structure from the Alexandria database. Energies are from GGA-PBE.

Summary:
As for the formation energy: -0.6904 eV/atom. The density of states at the Fermi level is 1.01 states/eV per atom. Its total energy is -5.8918 eV per atom.

Cell: 3.996 3.996 15.816 Å, 90.00 90.00 90.00°
Space group P4/mmm (No. 123)
Unique sites:
Li1 0.000 0.000 0.000 x1
Sc1 0.000 0.000 0.246 x2
Sc2 0.000 0.000 0.500 x1
Pd1 0.000 0.500 0.120 x4
Pd2 0.000 0.500 0.373 x4
Pd3 0.500 0.500 0.000 x1
Pd4 0.500 0.500 0.246 x2
Pd5 0.500 0.500 0.500 x1

=====

[8]
Here is a geometry-optimized Y2BiO2 structure from the Alexandria database. Energies are from GGA-PBE.

Summary:
As for the formation energy (no corrections): -2.66 eV per atom. The density of states at the Fermi level is 0.14 states/eV per atom. Its total energy is -8.0060 eV per atom.

Cell: 3.901 3.901 13.611 Å, 90.00 90.00 90.00°
Space group I4/mmm (No. 139)
Unique sites:
Y1 0.000 0.000 0.169 x4
Bi1 0.000 0.000 0.500 x2
O1 0.000 0.500 0.250 x4